# 1
VASP calculation (PBE-GGA) on crystalline KAl2GeSe6 at its relaxed geometry.

Lattice parameters (Å, degrees): 8.1512 9.4990 9.4990 88.65 68.74 68.74
Last column: nearest neighbours and their distance in Å.
Element x y z (fractional)
Al: 0.9351 0.6059 0.7588  4 Se 2.39-2.55
Al: 0.4351 0.7588 0.6059  4 Se 2.39-2.55
Al: 0.5649 0.2412 0.3941  4 Se 2.39-2.55
Al: 0.0649 0.3941 0.2412  4 Se 2.39-2.55
Se: 0.8114 0.0614 0.1827  1 Al 2.39, 1 Ge 2.45
Se: 0.0459 0.6251 0.1284  1 Ge 2.38, 1 Al 2.40
Se: 0.1886 0.9386 0.8173  1 Al 2.39, 1 Ge 2.45
Se: 0.3053 0.4207 0.3408  2 Al 2.40-2.55
Se: 0.8053 0.3408 0.4207  2 Al 2.40-2.55
Se: 0.3114 0.1827 0.0614  1 Al 2.39, 1 Ge 2.45
Se: 0.6886 0.8173 0.9386  1 Al 2.39, 1 Ge 2.45
Se: 0.6947 0.5793 0.6592  2 Al 2.40-2.55
Se: 0.9541 0.3749 0.8716  1 Ge 2.38, 1 Al 2.40
Se: 0.5459 0.1284 0.6251  1 Ge 2.38, 1 Al 2.40
Se: 0.4541 0.8716 0.3749  1 Ge 2.38, 1 Al 2.40
Se: 0.1947 0.6592 0.5793  2 Al 2.40-2.55
K: 0.7500 0.1550 0.8450  6 Se 3.17-3.47
K: 0.2500 0.8450 0.1550  6 Se 3.17-3.47
Ge: 0.7500 0.8288 0.1712  4 Se 2.38-2.45
Ge: 0.2500 0.1712 0.8288  4 Se 2.38-2.45

Properties
formation energy from raw total energies = -0.596 eV/atom

=====

# 2
VASP calculation (PBE-GGA) on crystalline SrHg2Au4 at its relaxed geometry.

Lattice parameters (Å, degrees): 5.6980 5.9618 5.9618 76.80 61.45 61.45
Last column: nearest neighbours and their distance in Å.
Element x y z (fractional)
Au: 0.3085 0.0000 0.3830  4 Au 2.84-3.10, 4 Hg 3.04
Au: 0.3085 0.3830 0.0000  4 Au 2.84-3.10, 4 Hg 3.04
Au: 0.6915 0.0000 0.6170  4 Au 2.84-3.10, 4 Hg 3.04
Au: 0.6915 0.6170 0.0000  4 Au 2.84-3.10, 4 Hg 3.04
Sr: 0.0000 0.0000 0.0000  12 Au 3.23-3.48
Hg: 0.2500 0.5000 0.5000  2 Hg 2.85, 8 Au 3.04
Hg: 0.7500 0.5000 0.5000  2 Hg 2.85, 8 Au 3.04

Properties
energy of formation from the pure elements = -318 meV per atom
offset from the most stable computed form = 0 meV per atom

=====

# 3
VASP calculation (PBE-GGA) on crystalline BeTeW2 at its relaxed geometry.

Lattice parameters (Å, degrees): 2.8869 2.8869 8.8386 90.00 90.00 110.20
Last column: nearest neighbours and their distance in Å.
Element x y z (fractional)
W: 0.5000 0.5000 0.2646  2 Be 2.40, 2 W 2.67
W: 0.0000 0.0000 0.0277  6 W 2.67-2.89, 2 Te 2.99
Be: 0.0000 0.0000 0.4614  2 W 2.40
Te: 0.5000 0.5000 0.7463  4 Te 2.89, 2 W 2.99, 2 Be 3.01

Properties
formation energy from raw total energies = 0.687 eV/atom
offset from the most stable computed form = 380 meV per atom

=====

| no. | N(E_F) (states/eV per cell) |
| --- | --- |
| 1 | 8.66 |
| 2 | 1.67 |
| 3 | 3.19 |